Density functional theory data (PBE) for crystalline Li5Eu at its relaxed geometry.

extended XYZ file:
```
6
Lattice="-3.107 -1.581 0.305 2.485 -4.779 0.543 -0.994 3.402 7.498" Properties=species:S:1:pos:R:3 pbc="T T T"
Eu 0.000 0.000 0.000
Li 1.319 -2.076 2.679
Li 0.171 0.699 5.362
Li -0.311 -3.180 0.424
Li -1.458 -0.403 3.127
Li -0.158 -2.555 5.220
```

Values from the calculation:
Crystal system   orthorhombic
Space-group type   Cmmm
Energy of formation from the pure elements   0.075 eV per atom
D(E_F)   1.232 states/eV/atom
Volume   149 Å³ per cell